[1]
VASP calculation (PBE-GGA) on a relaxed CsRb2InBr6 crystal.

Structure (extended XYZ):
```
10
Lattice="4.216 2.434 7.133 -4.216 2.434 7.133 0.000 -4.868 7.133" Properties=species:S:1:pos:R:3 pbc="T T T"
Cs 0.000 0.000 0.000
Rb 0.000 0.000 5.984
Rb 0.000 0.000 16.898
In 0.000 0.000 10.492
Br -2.178 0.154 8.833
Br -1.374 -1.816 11.998
Br 0.956 -1.963 8.833
Br -0.886 2.098 11.998
Br 1.222 1.810 8.833
Br 2.260 -0.282 11.998
```

=====

[2]
VASP calculation (PBE-GGA) on a relaxed Cs2Rb3InBr6 crystal.

Structure (extended XYZ):
```
12
Lattice="10.922 -2.508 0.000 10.922 2.508 0.000 -2.328 0.000 9.762" Properties=species:S:1:pos:R:3 pbc="T T T"
Cs 2.836 0.000 3.211
Cs 16.680 0.000 6.551
Rb 1.691 0.000 8.155
Rb 9.758 0.000 4.881
Rb 17.825 0.000 1.608
In 10.922 0.000 0.000
Br -1.694 0.000 7.433
Br 6.405 0.000 3.990
Br 5.203 0.000 9.073
Br 14.313 0.000 0.689
Br 13.111 0.000 5.772
Br 21.210 0.000 2.329
```

=====

| no. | total energy (hartree per atom) | formation energy (no corrections) (kJ/mol of formula units) |
| --- | --- | --- |
| 1 | -0.1083 | -1342 |
| 2 | -0.1109 | -1818 |